Entry from Alexandria: Li2VWN4 after structural relaxation (PBE).

abc: 5.069 2.935 5.370
angles: 90.00 108.30 90.00
Sites, in units of the cell vectors:
Li1 0.000 0.000 0.000
Li2 0.500 0.500 0.000
V1 0.000 0.500 0.500
W1 0.500 0.000 0.500
N1 0.237 0.000 0.719
N2 0.256 0.500 0.273
N3 0.744 0.500 0.727
N4 0.763 0.000 0.281

Formation energy from raw total energies ... -0.67 eV per atom
Symmetry ... P2/m (10)
Density of states at the Fermi level ... 2.41 states/eV per cell
Calculated density ... 6670 kg/m3

Entry from Alexandria: Ta6Al7 after structural relaxation (PBE).

abc: 9.743 9.743 9.743
angles: 30.58 30.58 30.58
Sites, in units of the cell vectors:
Ta1 0.046 0.046 0.046
Ta2 0.148 0.148 0.148
Ta3 0.336 0.336 0.336
Ta4 0.664 0.664 0.664
Ta5 0.852 0.852 0.852
Ta6 0.954 0.954 0.954
Al1 0.085 0.591 0.591
Al2 0.409 0.409 0.915
Al3 0.409 0.915 0.409
Al4 0.500 0.500 0.500
Al5 0.591 0.085 0.591
Al6 0.591 0.591 0.085
Al7 0.915 0.409 0.409

Energy of formation ... -0.24 eV/atom
Symmetry ... R-3m (166)
Density of states at the Fermi level ... 8.53 states/eV per cell
Calculated density ... 9971 kg/m3

Question: Among the records above, which one has the lowest calculated density?
Answer: Li2VWN4

Question: Which formula does entry 1 have?
Answer: Li2VWN4

Question: Among the records above, which one has the lowest calculated density?
Answer: Li2VWN4